Entry 1:
GGA-PBE TiN, optimized geometry; space group = I4/m
1.0
-1.5118 4.7599 6.2198
2.1690 -5.8324 4.9906
3.3424 1.1712 -0.0839
N Ti
8 8
Direct
0.6139 0.2288 0.0000 N
0.7712 0.6139 0.0000 N
0.8861 0.2712 0.5000 N
0.3861 0.7712 0.0000 N
0.2712 0.1139 0.5000 N
0.7288 0.8861 0.5000 N
0.1139 0.7288 0.5000 N
0.2288 0.3861 0.0000 N
0.1811 0.6263 0.0000 Ti
0.8189 0.3737 0.0000 Ti
0.6263 0.8189 0.0000 Ti
0.1263 0.3189 0.5000 Ti
0.6811 0.1263 0.5000 Ti
0.3737 0.1811 0.0000 Ti
0.3189 0.8737 0.5000 Ti
0.8737 0.6811 0.5000 Ti

***

Entry 2:
GGA-PBE Ba3Zn2In2, optimized geometry; space group = C2/m; formation energy = -0.286 eV/atom
1.0
-3.9328 -0.8419 2.1025
0.3395 -3.9664 -5.8514
4.5026 -3.6517 6.9600
In Zn Ba
2 2 3
Direct
0.9795 0.9591 0.6617 In
0.0205 0.0409 0.3383 In
0.8016 0.6031 0.0625 Zn
0.1984 0.3969 0.9375 Zn
0.6923 0.3846 0.6530 Ba
0.5000 0.0000 0.0000 Ba
0.3077 0.6155 0.3470 Ba

***

Entry 3:
GGA-PBE LiLa2Ag, optimized geometry; space group = P4mm; ΔE to the lowest computed polymorph = 0.00 eV/f.u.; formation energy = -0.079 eV/atom
1.0
-0.7951 1.3962 3.3578
-3.4302 0.8535 -1.1671
-2.5827 -7.1504 2.3616
La Ag Li
2 1 1
Direct
0.5000 0.5000 0.2830 La
0.0000 0.0000 0.9569 La
0.5000 0.5000 0.7033 Ag
0.0000 0.0000 0.5568 Li

***

Entry 4:
GGA-PBE PuWN, optimized geometry; space group = Amm2
1.0
2.9793 0.0000 0.0000
-1.4897 2.5765 0.0000
0.0000 0.0000 11.5349
W N Pu
2 2 2
Direct
0.2758 0.5517 0.1194 W
0.2758 0.5517 0.8806 W
0.2798 0.5596 0.5000 N
0.6095 0.2189 0.0000 N
0.6128 0.2257 0.6418 Pu
0.6128 0.2257 0.3582 Pu

***

Results for DFT total energy: -9.427, -2.257, -3.734, -11.889 (in eV per atom, following the order of the records).